Entry 1:
DFT (PBE) results for LaSbRu4 after structural relaxation.

Cell lengths 7.589, 7.589, 7.589 Å; angles 90.00, 90.00, 90.00 degrees
Space group F-43m (No. 216)
One atom of each set of equivalent atoms:
La: 0.000 0.000 0.000 [4 per cell]
Sb: 0.250 0.250 0.250 [4 per cell]
Ru: 0.124 0.124 0.624 [16 per cell]

**Magnetic moment**: 0.0 μB per cell

Entry 2:
DFT (PBE) results for Ho7Er12Al after structural relaxation.

Cell lengths 11.7989, 11.7989, 15.4449 Å; angles 90.00, 90.00, 120.00 degrees
Space group R-3 (No. 148, hexagonal axes)
One atom of each set of equivalent atoms:
Ho: 0.0000 0.0000 0.0000 [3 per cell]
Ho: 0.0572 0.8691 0.2973 [18 per cell]
Er: 0.0397 0.5789 0.2139 [18 per cell]
Er: 0.0553 0.4714 0.5856 [18 per cell]
Al: 0.0000 0.0000 0.5000 [3 per cell]

**Formation energy**: 0.192 eV per atom
**Magnetic moment**: 0.1 μB per cell

Entry 3:
DFT (PBE) results for Ca2La3Nd6 after structural relaxation.

Cell lengths 3.7256, 3.7256, 101.1176 Å; angles 90.00, 90.00, 120.00 degrees
Space group R-3m (No. 166, hexagonal axes)
One atom of each set of equivalent atoms:
Ca: 0.0000 0.0000 0.0459 [6 per cell]
La: 0.0000 0.0000 0.2266 [6 per cell]
La: 0.0000 0.0000 0.5000 [3 per cell]
Nd: 0.0000 0.0000 0.1369 [6 per cell]
Nd: 0.0000 0.0000 0.3191 [6 per cell]
Nd: 0.0000 0.0000 0.4109 [6 per cell]

**Formation energy**: 0.025 eV per atom
**Magnetic moment**: 0.0 μB per cell

no.,energy (eV per atom)
1,-7.5699
2,-4.3353
3,-4.2835